The following is a DFT calculation (PBE+U) of a relaxed structure of Co2Hg2O5.

a = 3.691 Å, b = 3.691 Å, c = 7.935 Å
α = 90.00°, β = 90.00°, γ = 90.00°
Space group P4/mmm (No. 123)
One atom of each set of equivalent atoms:
Co: 0.000 0.000 0.249 (multiplicity 2)
Hg: 0.500 0.500 0.000 (multiplicity 1)
Hg: 0.500 0.500 0.500 (multiplicity 1)
O: 0.000 0.000 0.500 (multiplicity 1)
O: 0.000 0.500 0.206 (multiplicity 4)

---

The following is a DFT calculation (PBE+U) of a relaxed structure of CoHgO3.

a = 5.3447 Å, b = 5.3447 Å, c = 12.8366 Å
α = 90.00°, β = 90.00°, γ = 120.00°
Space group R-3c (No. 167, hexagonal axes)
One atom of each set of equivalent atoms:
Co: 0.0000 0.0000 0.0000 (multiplicity 6)
Hg: 0.0000 0.0000 0.2500 (multiplicity 6)
O: 0.0000 0.4155 0.2500 (multiplicity 18)

---

Number 1: VASP energy -4.27 eV per atom. Number 2: VASP energy -4.38 eV per atom.